[1]
An optimized crystal structure of Pr5Ir2Pb, computed with PBE-GGA.

a = 9.1155 Å, b = 9.1155 Å, c = 9.1155 Å
α = 127.27°, β = 127.27°, γ = 77.82°
Last column: nearest neighbours and their distance in Å.
Positions (direct):
Pr: 0.0000 0.0000 0.0000  4 Ir 3.13
Pr: 0.0277 0.5277 0.8201  3 Ir 2.97-3.07
Pr: 0.2077 0.0277 0.5000  3 Ir 2.97-3.07
Pr: 0.2923 0.7923 0.8201  3 Ir 2.97-3.07
Pr: 0.4723 0.2923 0.5000  3 Ir 2.97-3.07
Pr: 0.5000 0.5000 0.0000  4 Ir 3.13
Pr: 0.5277 0.7077 0.5000  3 Ir 2.97-3.07
Pr: 0.7077 0.2077 0.1799  3 Ir 2.97-3.07
Pr: 0.7923 0.9723 0.5000  3 Ir 2.97-3.07
Pr: 0.9723 0.4723 0.1799  3 Ir 2.97-3.07
Ir: 0.1392 0.3608 0.5000  8 Pr 2.97-3.13, 1 Ir 3.19
Ir: 0.3608 0.8608 0.2216  8 Pr 2.97-3.13, 1 Ir 3.19
Ir: 0.6392 0.1392 0.7784  8 Pr 2.97-3.13, 1 Ir 3.19
Ir: 0.8608 0.6392 0.5000  8 Pr 2.97-3.13, 1 Ir 3.19
Pb: 0.2500 0.2500 0.0000  10 Pr 3.47-3.55
Pb: 0.7500 0.7500 0.0000  10 Pr 3.47-3.55

Values from the calculation:
Final energy ... -6.2343 eV/atom
SG ... I4/mcm (140)
Formation energy ... -0.57 eV per atom
Total magnetization ... 0.00 μB/f.u.
Crystal system ... tetragonal


[2]
An optimized crystal structure of Pr12IrPb6, computed with PBE-GGA.

a = 8.7635 Å, b = 8.7635 Å, c = 8.7635 Å
α = 92.03°, β = 92.03°, γ = 92.03°
Last column: nearest neighbours and their distance in Å.
Positions (direct):
Pr: 0.0447 0.6907 0.9174  1 Ir 2.82
Pr: 0.0826 0.9553 0.3093  1 Ir 2.82
Pr: 0.1985 0.5514 0.4207  4 Pb 3.30-3.36
Pr: 0.3093 0.0826 0.9553  1 Ir 2.82
Pr: 0.4207 0.1985 0.5514  4 Pb 3.30-3.36
Pr: 0.4486 0.5793 0.8015  4 Pb 3.30-3.36
Pr: 0.5514 0.4207 0.1985  4 Pb 3.30-3.36
Pr: 0.5793 0.8015 0.4486  4 Pb 3.30-3.36
Pr: 0.6907 0.9174 0.0447  1 Ir 2.82
Pr: 0.8015 0.4486 0.5793  4 Pb 3.30-3.36
Pr: 0.9174 0.0447 0.6907  1 Ir 2.82
Pr: 0.9553 0.3093 0.0826  1 Ir 2.82
Ir: 0.0000 0.0000 0.0000  6 Pr 2.82
Pb: 0.1366 0.3610 0.7396  8 Pr 3.30-3.49
Pb: 0.2604 0.8634 0.6390  8 Pr 3.30-3.49
Pb: 0.3610 0.7396 0.1366  8 Pr 3.30-3.49
Pb: 0.6390 0.2604 0.8634  8 Pr 3.30-3.49
Pb: 0.7396 0.1366 0.3610  8 Pr 3.30-3.49
Pb: 0.8634 0.6390 0.2604  8 Pr 3.30-3.49

Values from the calculation:
Final energy ... -5.0300 eV/atom
SG ... R-3 (148)
Formation energy ... -0.37 eV per atom
Total magnetization ... 0.00 μB/f.u.
Crystal system ... trigonal


[3]
An optimized crystal structure of Pr3IrPb2, computed with PBE-GGA.

a = 7.6790 Å, b = 7.6790 Å, c = 8.4601 Å
α = 106.51°, β = 106.51°, γ = 49.78°
Last column: nearest neighbours and their distance in Å.
Positions (direct):
Pr: 0.1756 0.8244 0.7500  1 Ir 2.95, 2 Pb 3.19
Pr: 0.2382 0.4471 0.3752  1 Ir 2.72
Pr: 0.4471 0.2382 0.8752  1 Ir 2.72
Pr: 0.5529 0.7618 0.1248  1 Ir 2.72
Pr: 0.7618 0.5529 0.6248  1 Ir 2.72
Pr: 0.8244 0.1756 0.2500  1 Ir 2.95, 2 Pb 3.19
Ir: 0.3680 0.6320 0.2500  3 Pr 2.72-2.95, 2 Pb 2.99
Ir: 0.6320 0.3680 0.7500  3 Pr 2.72-2.95, 2 Pb 2.99
Pb: 0.0278 0.2763 0.0114  1 Ir 2.99, 2 Pr 3.19-3.24, 1 Pb 3.23
Pb: 0.2763 0.0278 0.5114  1 Ir 2.99, 2 Pr 3.19-3.24, 1 Pb 3.23
Pb: 0.7237 0.9722 0.4886  1 Ir 2.99, 2 Pr 3.19-3.24, 1 Pb 3.23
Pb: 0.9722 0.7237 0.9886  1 Ir 2.99, 2 Pr 3.19-3.24, 1 Pb 3.23

Values from the calculation:
Final energy ... -5.5509 eV/atom
SG ... C2/c (15)
Formation energy ... -0.45 eV per atom
Total magnetization ... 0.00 μB/f.u.
Crystal system ... monoclinic


[4]
An optimized crystal structure of Pr5Ir2Pb2, computed with PBE-GGA.

a = 9.2573 Å, b = 9.2573 Å, c = 7.4684 Å
α = 90.00°, β = 90.00°, γ = 56.46°
Last column: nearest neighbours and their distance in Å.
Positions (direct):
Pr: 0.0000 0.0000 0.0000  2 Ir 2.95
Pr: 0.0632 0.6996 0.6525  2 Ir 2.92-3.06
Pr: 0.1996 0.5632 0.1525  2 Ir 2.92-3.06
Pr: 0.3004 0.9368 0.6525  2 Ir 2.92-3.06
Pr: 0.4368 0.8004 0.1525  2 Ir 2.92-3.06
Pr: 0.5000 0.5000 0.5000  2 Ir 2.95
Pr: 0.5632 0.1996 0.8475  2 Ir 2.92-3.06
Pr: 0.6996 0.0632 0.3475  2 Ir 2.92-3.06
Pr: 0.8004 0.4368 0.8475  2 Ir 2.92-3.06
Pr: 0.9368 0.3004 0.3475  2 Ir 2.92-3.06
Ir: 0.1198 0.8802 0.3686  1 Ir 2.87, 5 Pr 2.92-3.06
Ir: 0.3802 0.6198 0.8686  1 Ir 2.87, 5 Pr 2.92-3.06
Ir: 0.6198 0.3802 0.1314  1 Ir 2.87, 5 Pr 2.92-3.06
Ir: 0.8802 0.1198 0.6314  1 Ir 2.87, 5 Pr 2.92-3.06
Pb: 0.2153 0.2153 0.0000  7 Pr 3.34-3.51
Pb: 0.2847 0.2847 0.5000  7 Pr 3.34-3.51
Pb: 0.7153 0.7153 0.5000  7 Pr 3.34-3.51
Pb: 0.7847 0.7847 0.0000  7 Pr 3.34-3.51

Values from the calculation:
Final energy ... -5.9926 eV/atom
SG ... Cmce (64)
Formation energy ... -0.54 eV per atom
Total magnetization ... 0.00 μB/f.u.
Crystal system ... orthorhombic